[1]
Compound: Nd5Hf3N8
Source: the Alexandria database
Functional: GGA-PBE
Structure: optimized geometry

abc: 6.8841 6.8841 6.9863
angles: 60.48 60.48 60.00
Last column: nearest neighbours and their distance in Å.
Fractional coordinates of all 16 atoms:
Nd (0.5000, 0.0000, 0.0000)  6 N 2.59-2.61
Nd (0.5000, 0.5000, 0.0000)  6 N 2.59-2.61
Nd (0.0000, 0.0000, 0.0000)  6 N 2.47
Nd (0.0000, 0.5000, 0.0000)  6 N 2.59-2.61
Nd (0.5000, 0.5000, 0.5000)  6 N 2.46
Hf (0.5000, 0.0000, 0.5000)  6 N 2.30-2.33
Hf (0.0000, 0.0000, 0.5000)  6 N 2.30-2.33
Hf (0.0000, 0.5000, 0.5000)  6 N 2.30-2.33
N (0.2500, 0.2500, 0.7183)  2 Hf 2.30, 2 Nd 2.46-2.47
N (0.2500, 0.7816, 0.7183)  2 Hf 2.30, 2 Nd 2.46-2.47
N (0.7816, 0.2500, 0.7183)  2 Hf 2.30, 2 Nd 2.46-2.47
N (0.7626, 0.7626, 0.7122)  3 Hf 2.33, 3 Nd 2.59
N (0.7500, 0.7500, 0.2817)  2 Hf 2.30, 2 Nd 2.46-2.47
N (0.7500, 0.2184, 0.2817)  2 Hf 2.30, 2 Nd 2.46-2.47
N (0.2184, 0.7500, 0.2817)  2 Hf 2.30, 2 Nd 2.46-2.47
N (0.2374, 0.2374, 0.2878)  3 Hf 2.33, 3 Nd 2.59

Computed properties:
- VASP energy (eV/atom) = -9.039
- crystal system = trigonal

---

[2]
Compound: Nd2HfN3
Source: the Alexandria database
Functional: GGA-PBE
Structure: optimized geometry

abc: 3.5157 3.5157 7.8351
angles: 102.98 102.98 89.95
Last column: nearest neighbours and their distance in Å.
Fractional coordinates of all 6 atoms:
Nd (0.0961, 0.0975, 0.1976)  5 N 2.40-2.50
Nd (0.7724, 0.7739, 0.5503)  5 N 2.40-2.50
Hf (0.4343, 0.4355, 0.8740)  2 N 2.19
N (0.9341, 0.9359, 0.8740)  2 Nd 2.40, 4 Hf 2.48-2.49
N (0.2865, 0.2880, 0.5786)  1 Hf 2.19
N (0.5819, 0.5833, 0.1693)  1 Hf 2.19

Computed properties:
- VASP energy (eV/atom) = -8.820
- crystal system = tetragonal

---

[3]
Compound: Nd2HfNpN6
Source: the Alexandria database
Functional: GGA-PBE
Structure: optimized geometry

abc: 5.8123 5.8722 8.2673
angles: 90.00 90.03 90.00
Last column: nearest neighbours and their distance in Å.
Fractional coordinates of all 20 atoms:
Nd (0.0122, 0.9589, 0.2510)  6 N 2.45-2.73
Nd (0.5122, 0.5411, 0.7510)  6 N 2.45-2.73
Nd (0.9878, 0.0411, 0.7490)  6 N 2.45-2.73
Nd (0.4878, 0.4589, 0.2490)  6 N 2.45-2.73
Hf (0.5000, 0.0000, 0.0000)  6 N 2.17-2.19
Hf (0.0000, 0.5000, 0.5000)  6 N 2.17-2.19
Np (0.5000, 0.0000, 0.5000)  6 N 2.08-2.11
Np (0.0000, 0.5000, 0.0000)  6 N 2.08-2.11
N (0.2823, 0.7062, 0.0501)  1 Np 2.08, 1 Hf 2.18
N (0.7823, 0.7938, 0.5501)  1 Np 2.08, 1 Hf 2.18
N (0.7177, 0.2938, 0.9499)  1 Np 2.08, 1 Hf 2.18
N (0.2177, 0.2062, 0.4499)  1 Np 2.08, 1 Hf 2.18
N (0.2910, 0.7182, 0.4459)  1 Np 2.10, 1 Hf 2.17
N (0.7910, 0.7818, 0.9459)  1 Np 2.10, 1 Hf 2.17
N (0.7090, 0.2818, 0.5541)  1 Np 2.10, 1 Hf 2.17
N (0.2090, 0.2182, 0.0541)  1 Np 2.10, 1 Hf 2.17
N (0.9040, 0.5281, 0.2451)  1 Np 2.11, 1 Hf 2.19
N (0.4040, 0.9719, 0.7451)  1 Np 2.11, 1 Hf 2.19
N (0.0960, 0.4719, 0.7549)  1 Np 2.11, 1 Hf 2.19
N (0.5960, 0.0281, 0.2549)  1 Np 2.11, 1 Hf 2.19

Computed properties:
- VASP energy (eV/atom) = -9.421
- crystal system = monoclinic

---

[4]
Compound: Nd2HfNpN4
Source: the Alexandria database
Functional: GGA-PBE
Structure: optimized geometry

abc: 3.4360 5.9274 6.0878
angles: 108.49 90.00 90.00
Last column: nearest neighbours and their distance in Å.
Fractional coordinates of all 8 atoms:
Nd (0.5000, 0.0000, 0.5000)  6 N 2.58
Nd (0.0000, 0.5000, 0.5000)  6 N 2.62
Hf (0.0000, 0.0000, 0.0000)  6 N 2.27-2.31
Np (0.5000, 0.5000, 0.0000)  6 N 2.31-2.35
N (0.5000, 0.2327, 0.2066)  2 Hf 2.31, 1 Np 2.31, 1 Nd 2.58
N (0.5000, 0.7673, 0.7934)  2 Hf 2.31, 1 Np 2.31, 1 Nd 2.58
N (0.0000, 0.2547, 0.7901)  1 Hf 2.27, 2 Np 2.35
N (0.0000, 0.7453, 0.2099)  1 Hf 2.27, 2 Np 2.35

Computed properties:
- VASP energy (eV/atom) = -9.654
- crystal system = monoclinic

---

[5]
Compound: NdHf3P4N12
Source: the Alexandria database
Functional: GGA-PBE
Structure: optimized geometry

abc: 6.7012 6.7012 6.7012
angles: 104.54 104.54 104.54
Last column: nearest neighbours and their distance in Å.
Fractional coordinates of all 20 atoms:
Nd (0.0000, 0.0000, 0.0000)  6 N 2.59
Hf (0.5524, 0.4476, 0.0000)  6 N 2.13-2.20
Hf (0.4476, 0.0000, 0.5524)  6 N 2.13-2.20
Hf (0.0000, 0.5524, 0.4476)  6 N 2.13-2.20
P (0.9465, 0.0535, 0.5000)  3 N 1.57
P (0.0535, 0.5000, 0.9465)  3 N 1.57
P (0.5000, 0.9465, 0.0535)  3 N 1.57
P (0.5000, 0.5000, 0.5000)  3 N 1.57
N (0.5000, 0.3517, 0.6483)  1 P 1.57
N (0.9051, 0.5000, 0.0949)  1 P 1.57
N (0.0949, 0.9051, 0.5000)  1 P 1.57
N (0.5000, 0.0949, 0.9051)  1 P 1.57
N (0.3658, 0.9708, 0.2149)  1 P 1.57
N (0.2149, 0.3658, 0.9708)  1 P 1.57
N (0.9708, 0.2149, 0.3658)  1 P 1.57
N (0.6342, 0.7851, 0.0292)  1 P 1.57
N (0.0292, 0.6342, 0.7851)  1 P 1.57
N (0.7851, 0.0292, 0.6342)  1 P 1.57
N (0.6483, 0.5000, 0.3517)  1 P 1.57
N (0.3517, 0.6483, 0.5000)  1 P 1.57

Computed properties:
- VASP energy (eV/atom) = -8.624
- crystal system = trigonal

---

[6]
Compound: Nd2HfPaN4
Source: the Alexandria database
Functional: GGA-PBE
Structure: optimized geometry

abc: 3.4664 5.9711 6.1365
angles: 108.62 90.00 90.00
Last column: nearest neighbours and their distance in Å.
Fractional coordinates of all 8 atoms:
Nd (0.5000, 0.0000, 0.5000)  6 N 2.60
Nd (0.0000, 0.5000, 0.5000)  6 N 2.65-2.66
Hf (0.0000, 0.0000, 0.0000)  6 N 2.27-2.32
Pa (0.5000, 0.5000, 0.0000)  6 N 2.34-2.37
N (0.5000, 0.2298, 0.2051)  2 Hf 2.32, 1 Pa 2.34
N (0.5000, 0.7702, 0.7949)  2 Hf 2.32, 1 Pa 2.34
N (0.0000, 0.2523, 0.7912)  1 Hf 2.27, 2 Pa 2.37
N (0.0000, 0.7477, 0.2088)  1 Hf 2.27, 2 Pa 2.37

Computed properties:
- VASP energy (eV/atom) = -9.377
- crystal system = monoclinic

---

[7]
Compound: NdHf2PdN4
Source: the Alexandria database
Functional: GGA-PBE
Structure: optimized geometry

abc: 3.2799 5.8343 11.5769
angles: 90.00 90.00 106.33
Last column: nearest neighbours and their distance in Å.
Fractional coordinates of all 16 atoms:
Nd (0.1193, 0.2385, 0.7500)  2 N 2.38
Nd (0.8807, 0.7615, 0.2500)  2 N 2.38
Hf (0.3680, 0.7361, 0.5503)  5 N 2.10-2.30
Hf (0.6320, 0.2639, 0.0503)  5 N 2.10-2.30
Hf (0.6320, 0.2639, 0.4497)  5 N 2.10-2.30
Hf (0.3680, 0.7361, 0.9497)  5 N 2.10-2.30
Pd (0.8549, 0.7098, 0.7500)  4 N 2.05-2.19
Pd (0.1451, 0.2902, 0.2500)  4 N 2.05-2.19
N (0.2661, 0.5322, 0.1018)  3 Hf 2.10-2.30, 1 Pd 2.19
N (0.7339, 0.4678, 0.6018)  3 Hf 2.10-2.30, 1 Pd 2.19
N (0.7339, 0.4678, 0.8982)  3 Hf 2.10-2.30, 1 Pd 2.19
N (0.2661, 0.5322, 0.3982)  3 Hf 2.10-2.30, 1 Pd 2.19
N (0.0000, 0.0000, 0.5000)  4 Hf 2.28
N (0.0000, 0.0000, 0.0000)  4 Hf 2.28
N (0.4653, 0.9305, 0.7500)  2 Pd 2.05
N (0.5347, 0.0695, 0.2500)  2 Pd 2.05

Computed properties:
- VASP energy (eV/atom) = -8.998
- crystal system = orthorhombic

---

[8]
Compound: PmNd2HfN4
Source: the Alexandria database
Functional: GGA-PBE
Structure: optimized geometry

abc: 3.4956 6.1098 6.0938
angles: 70.97 90.00 90.00
Last column: nearest neighbours and their distance in Å.
Fractional coordinates of all 8 atoms:
Pm (0.0000, 0.5000, 0.5000)  6 N 2.48-2.49
Nd (0.0000, 0.0000, 0.0000)  6 N 2.50
Nd (0.5000, 0.0000, 0.5000)  6 N 2.63-2.67
Hf (0.5000, 0.5000, 0.0000)  6 N 2.30-2.35
N (0.0000, 0.7216, 0.7767)  2 Hf 2.35, 1 Pm 2.48, 3 Nd 2.50-2.63
N (0.0000, 0.2784, 0.2233)  2 Hf 2.35, 1 Pm 2.48, 3 Nd 2.50-2.63
N (0.5000, 0.7299, 0.2336)  1 Hf 2.30, 2 Pm 2.49, 2 Nd 2.50
N (0.5000, 0.2701, 0.7664)  1 Hf 2.30, 2 Pm 2.49, 2 Nd 2.50

Computed properties:
- VASP energy (eV/atom) = -8.672
- crystal system = monoclinic